1.
A geometry-optimized Zn2CuAs structure, computed with PBE.

Properties
For the calculated formation energy, the calculation gives 0.118 eV per atom. Its total magnetic moment is 0.00 μB per formula unit. As for the density of states at the Fermi level: 3.213 states/eV per cell. The crystal system is tetragonal.

Cell lengths 9.121, 9.121, 9.121 Å; angles 155.30, 155.30, 35.22 degrees
Fractional coordinates of all 8 atoms:
Zn  0.097  0.625  0.972
Zn  0.375  0.347  0.472
Zn  0.653  0.125  0.028
Zn  0.875  0.903  0.528
Cu  0.000  0.000  0.000
Cu  0.750  0.250  0.500
As  0.250  0.750  0.500
As  0.500  0.500  0.000

2.
A geometry-optimized MgSb2Te structure, computed with PBE.

Properties
Its total magnetic moment is 0.00 μB per formula unit. As for the density of states at the Fermi level: 2.407 states/eV per cell. The crystal system is orthorhombic. The calculation puts the formation energy (no corrections) at 36 meV per atom.

Cell lengths 3.142, 3.142, 11.771 Å; angles 90.00, 90.00, 90.15 degrees
Fractional coordinates of all 4 atoms:
Mg  0.000  0.000  0.000
Sb  0.500  0.500  0.190
Sb  0.500  0.500  0.810
Te  0.000  0.000  0.500

3.
A geometry-optimized AlCrS structure, computed with PBE.

Properties
Its total magnetic moment is 1.80 μB per formula unit. As for the density of states at the Fermi level: 3.809 states/eV per cell. The crystal system is triclinic. The calculation puts the formation energy (no corrections) at -152 meV per atom.

Cell lengths 3.081, 3.095, 11.465 Å; angles 89.94, 89.96, 60.25 degrees
Fractional coordinates of all 6 atoms:
Al  0.000  0.000  0.000
Al  0.334  0.335  0.667
Cr  0.333  0.335  0.164
Cr  0.668  0.667  0.487
S  0.002  0.996  0.800
S  0.335  0.333  0.368

4.
A geometry-optimized BaZnIn2Sn structure, computed with PBE.

Properties
For the calculated formation energy, the calculation gives -0.370 eV per atom. Its total magnetic moment is 0.00 μB per formula unit. As for the density of states at the Fermi level: 2.193 states/eV per cell. The crystal system is orthorhombic.

Cell lengths 6.826, 6.826, 6.826 Å; angles 137.62, 137.44, 61.63 degrees
Fractional coordinates of all 5 atoms:
Ba  0.000  0.000  0.000
Zn  0.377  0.377  0.000
In  0.607  0.607  0.000
In  0.758  0.258  0.500
Sn  0.257  0.757  0.500

5.
A geometry-optimized LiCd8 structure, computed with PBE.

Properties
For the calculated formation energy, the calculation gives -0.064 eV per atom. Its total magnetic moment is 0.00 μB per formula unit. As for the density of states at the Fermi level: 2.750 states/eV per cell. The crystal system is tetragonal.

Cell lengths 6.944, 6.944, 6.944 Å; angles 96.14, 96.14, 141.83 degrees
Fractional coordinates of all 9 atoms:
Li  0.000  0.000  0.000
Cd  0.000  0.329  0.329
Cd  0.000  0.671  0.671
Cd  0.329  0.000  0.329
Cd  0.337  0.337  0.674
Cd  0.337  0.663  0.000
Cd  0.663  0.337  0.000
Cd  0.663  0.663  0.326
Cd  0.671  0.000  0.671

6.
A geometry-optimized Ac2Sm6Dy3 structure, computed with PBE.

Properties
For the calculated formation energy, the calculation gives 0.043 eV per atom. Its total magnetic moment is 0.00 μB per formula unit. As for the density of states at the Fermi level: 14.684 states/eV per cell. The crystal system is trigonal.

Cell lengths 32.838, 32.838, 32.838 Å; angles 6.43, 6.43, 6.43 degrees
Fractional coordinates of all 11 atoms:
Ac  0.047  0.047  0.047
Ac  0.953  0.953  0.953
Sm  0.137  0.137  0.137
Sm  0.318  0.318  0.318
Sm  0.412  0.412  0.412
Sm  0.588  0.588  0.588
Sm  0.682  0.682  0.682
Sm  0.863  0.863  0.863
Dy  0.225  0.225  0.225
Dy  0.500  0.500  0.500
Dy  0.775  0.775  0.775